A relaxed Pa3Al2Zn9 crystal. Source: the Alexandria database, functional GGA-PBE.

The value obtained for the density of states at the Fermi level is 26.6 states/eV per cell. For the density, the calculation gives 8.7 g/cm³. As for the total moment: 1.14 μB per cell. For the formation energy, the calculation gives -0.111 eV per atom.

The space group is Immm (No. 71) and the conventional cell measures 4.335, 9.184 and 12.737 Å, with angles of 90.00, 90.00 and 90.00 degrees. The distinct sites, in fractional coordinates, are Pa at (0.000, 0.000, 0.000), Pa at (0.000, 0.000, 0.298), Al at (0.000, 0.199, 0.500), Zn at (0.000, 0.280, 0.143), Zn at (0.000, 0.365, 0.342) and Zn at (0.000, 0.500, 0.000).